Model i:
This record from Alexandria via LeMat-Bulk describes a relaxed Nb2Cr2Bi crystal. The functional is GGA-PBE.

The structure in CIF format:
```
data_Nb2Cr2Bi
_chemical_formula_sum 'Nb4 Cr4 Bi2'
_symmetry_space_group_name_H-M 'I 4/m m m'
_symmetry_Int_Tables_number 139
_symmetry_space_group_name_Hall '-I 4 2'
_cell_length_a 3.3924
_cell_length_b 3.3924
_cell_length_c 16.0719
_cell_angle_alpha 90.00
_cell_angle_beta 90.00
_cell_angle_gamma 90.00
loop_
_atom_site_label
_atom_site_type_symbol
_atom_site_fract_x
_atom_site_fract_y
_atom_site_fract_z
Nb1 Nb 0.0000 0.0000 0.1244
Cr1 Cr 0.0000 0.5000 0.2500
Bi1 Bi 0.0000 0.0000 0.5000
```



Model ii:
This record from Alexandria via LeMat-Bulk describes a relaxed Nb2Cr2Bi crystal. The functional is GGA-PBE.

The structure in CIF format:
```
data_Nb2Cr2Bi
_chemical_formula_sum 'Nb4 Cr4 Bi2'
_symmetry_space_group_name_H-M 'P 4/m b m'
_symmetry_Int_Tables_number 127
_symmetry_space_group_name_Hall '-P 4 2ab'
_cell_length_a 7.7365
_cell_length_b 7.7365
_cell_length_c 3.1548
_cell_angle_alpha 90.00
_cell_angle_beta 90.00
_cell_angle_gamma 90.00
loop_
_atom_site_label
_atom_site_type_symbol
_atom_site_fract_x
_atom_site_fract_y
_atom_site_fract_z
Nb1 Nb 0.1403 0.3598 0.0000
Cr1 Cr 0.1346 0.6346 0.5000
Bi1 Bi 0.0000 0.0000 0.0000
```



The most stable of them is model i.



Model i:
This record from Alexandria via LeMat-Bulk describes a relaxed CrNi2SnBi crystal. The functional is GGA-PBE.

The structure in CIF format:
```
data_CrNi2SnBi
_chemical_formula_sum 'Cr1 Ni2 Sn1 Bi1'
_symmetry_space_group_name_H-M 'P 4/m m m'
_symmetry_Int_Tables_number 123
_symmetry_space_group_name_Hall '-P 4 2'
_cell_length_a 4.6205
_cell_length_b 4.6205
_cell_length_c 5.8002
_cell_angle_alpha 90.00
_cell_angle_beta 90.00
_cell_angle_gamma 90.00
loop_
_atom_site_label
_atom_site_type_symbol
_atom_site_fract_x
_atom_site_fract_y
_atom_site_fract_z
Cr1 Cr 0.0000 0.0000 0.0000
Ni1 Ni 0.0000 0.5000 0.5000
Sn1 Sn 0.5000 0.5000 0.5000
Bi1 Bi 0.5000 0.5000 0.0000
```



Model ii:
This record from Alexandria via LeMat-Bulk describes a relaxed CrNi2SnBi crystal. The functional is GGA-PBE.

The structure in CIF format:
```
data_CrNi2SnBi
_chemical_formula_sum 'Cr1 Ni2 Sn1 Bi1'
_symmetry_space_group_name_H-M 'P 4/m m m'
_symmetry_Int_Tables_number 123
_symmetry_space_group_name_Hall '-P 4 2'
_cell_length_a 4.7031
_cell_length_b 4.7031
_cell_length_c 5.8200
_cell_angle_alpha 90.00
_cell_angle_beta 90.00
_cell_angle_gamma 90.00
loop_
_atom_site_label
_atom_site_type_symbol
_atom_site_fract_x
_atom_site_fract_y
_atom_site_fract_z
Cr1 Cr 0.0000 0.0000 0.0000
Ni1 Ni 0.0000 0.5000 0.5000
Sn1 Sn 0.5000 0.5000 0.0000
Bi1 Bi 0.5000 0.5000 0.5000
```



The most stable of them is model i.